Crystalline Cs20K6Rb3 at its relaxed geometry, computed with PBE-GGA.

a = 23.3232 Å, b = 23.3232 Å, c = 23.3232 Å
α = 90.00°, β = 90.00°, γ = 90.00°
Closest atoms and distances in Å follow each position.
Space group Fm-3m (No. 225)
Inequivalent atoms, fractional coordinates:
Cs (0.0000, 0.1689, 0.1689)  2 K 4.83, 1 Cs 5.35
Cs (0.1317, 0.1317, 0.3683)  3 K 4.73, 1 Rb 4.78
K (0.0000, 0.0000, 0.2886)  8 Cs 4.73-4.83
Rb (0.0000, 0.0000, 0.0000)  12 Cs 5.57
Rb (0.2500, 0.2500, 0.2500)  4 Cs 4.78

Output
- Formation enthalpy at 0 K: 0.04 eV per atom

Crystalline CsK2RbS at its relaxed geometry, computed with PBE-GGA.

a = 6.4440 Å, b = 6.4440 Å, c = 6.9939 Å
α = 90.00°, β = 90.00°, γ = 90.00°
Closest atoms and distances in Å follow each position.
Space group P4/mmm (No. 123)
Inequivalent atoms, fractional coordinates:
Cs (0.0000, 0.0000, 0.0000)  2 S 3.50
K (0.0000, 0.5000, 0.5000)  2 S 3.22
Rb (0.5000, 0.5000, 0.0000)  4 Cs 4.56, 8 K 4.75
S (0.0000, 0.0000, 0.5000)  4 K 3.22, 2 Cs 3.50

Output
- Energy relative to the lowest polymorph listed for this composition: 0.0 meV/atom
- E_form (uncorrected): -2.555 eV per formula unit

Number 1: mass density 1.65 Mg/m³, DOS at the Fermi energy 30.5 states/eV/f.u., DFT total energy -0.878 eV/atom. Number 2: mass density 1.88 Mg/m³, DOS at the Fermi energy 1.8 states/eV/f.u., DFT total energy -2.140 eV/atom.